A plane-wave DFT calculation with PBE+U was carried out for an optimized crystal structure of MnIrN2F.

Properties
**Total energy**: -6.678 eV per atom
**Space-group type**: P4/mmm

Cell lengths 3.7065, 3.7065, 5.7253 Å; angles 90.00, 90.00, 90.00 degrees
Closest atoms and distances in Å follow each position.
Atoms (fractional coordinates):
Mn 0.0000 0.0000 0.0000  4 F 2.62
Ir 0.5000 0.5000 0.5000  4 N 1.85
N 0.0000 0.5000 0.5000  2 Ir 1.85
N 0.5000 0.0000 0.5000  2 Ir 1.85
F 0.5000 0.5000 0.0000  4 Mn 2.62, 2 Ir 2.86